Record 1
Compound: TaRu2
Source: Alexandria via LeMat-Bulk
Functional: PBE
Structure: optimized geometry

abc: 5.250 5.250 6.637
angles: 72.65 72.65 32.13
Element x y z (fractional)
Ru (0.361, 0.361, 0.032)
Ru (0.639, 0.639, 0.968)
Ru (0.957, 0.957, 0.303)
Ru (0.043, 0.043, 0.697)
Ta (0.674, 0.674, 0.349)
Ta (0.326, 0.326, 0.651)

The calculation puts the formation energy from the elements at -175 meV per atom. Its space group is C2/m, No. 12. The crystal system is monoclinic.


Record 2
Compound: Li2SmLu
Source: Alexandria via LeMat-Bulk
Functional: PBE
Structure: optimized geometry

abc: 3.317 3.317 11.938
angles: 82.01 82.01 60.00
Element x y z (fractional)
Sm (0.500, 0.500, 0.500)
Li (0.087, 0.087, 0.739)
Li (0.913, 0.913, 0.261)
Lu (0.000, 0.000, 0.000)

The calculation puts the formation energy from the elements at 299 meV per atom. Its space group is R-3m, No. 166. The crystal system is trigonal. The calculation puts the energy relative to the lowest polymorph listed for this composition at 0.572 eV per formula unit.


Record 3
Compound: PdCl3O
Source: Alexandria via LeMat-Bulk
Functional: PBE
Structure: optimized geometry

abc: 4.493 4.493 4.493
angles: 90.00 90.00 90.00
Element x y z (fractional)
Pd (0.500, 0.500, 0.500)
Cl (0.000, 0.500, 0.000)
Cl (0.000, 0.000, 0.500)
Cl (0.500, 0.000, 0.000)
O (0.000, 0.000, 0.000)

Its space group is Pm-3m, No. 221. Its energy relative to the elements, uncorrected is 3.8 eV/f.u. The crystal system is cubic. The calculation puts the energy relative to the lowest polymorph listed for this composition at 5.121 eV per formula unit.


Record 4
Compound: Ac2GaSi4Au3
Source: Alexandria via LeMat-Bulk
Functional: PBE
Structure: optimized geometry

abc: 4.551 4.551 10.121
angles: 90.00 90.00 90.00
Element x y z (fractional)
Si (0.500, 0.500, 0.000)
Si (0.000, 0.000, 0.000)
Si (0.500, 0.000, 0.629)
Si (0.000, 0.500, 0.371)
Au (0.000, 0.500, 0.122)
Au (0.000, 0.000, 0.500)
Au (0.500, 0.000, 0.878)
Ac (0.000, 0.500, 0.753)
Ac (0.500, 0.000, 0.247)
Ga (0.500, 0.500, 0.500)

Its space group is P-4m2, No. 115. Its energy relative to the elements, uncorrected is -5.6 eV/f.u. The crystal system is tetragonal.


Record 5
Compound: Hf6Sb3P
Source: Alexandria via LeMat-Bulk
Functional: PBE
Structure: optimized geometry

abc: 6.478 7.376 9.388
angles: 90.00 91.52 90.00
Element x y z (fractional)
Sb (0.000, 0.000, 0.500)
Sb (0.428, 0.143, 0.265)
Sb (0.072, 0.643, 0.235)
Sb (0.928, 0.357, 0.765)
Sb (0.500, 0.500, 0.000)
Sb (0.572, 0.857, 0.735)
Hf (0.641, 0.147, 0.939)
Hf (0.684, 0.472, 0.271)
Hf (0.184, 0.028, 0.771)
Hf (0.126, 0.313, 0.064)
Hf (0.316, 0.528, 0.729)
Hf (0.816, 0.972, 0.229)
Hf (0.859, 0.647, 0.561)
Hf (0.626, 0.187, 0.564)
Hf (0.141, 0.353, 0.439)
Hf (0.359, 0.853, 0.061)
Hf (0.874, 0.687, 0.936)
Hf (0.374, 0.813, 0.436)
P (0.000, 0.000, 0.000)
P (0.500, 0.500, 0.500)

Its space group is P2_1/c, No. 14. Its energy relative to the elements, uncorrected is -4.6 eV/f.u. The crystal system is monoclinic.


Record 6
Compound: Ni2PdRu
Source: Alexandria via LeMat-Bulk
Functional: PBE
Structure: optimized geometry

abc: 4.193 4.193 4.193
angles: 60.00 60.00 60.00
Element x y z (fractional)
Ni (0.750, 0.750, 0.750)
Ni (0.250, 0.250, 0.250)
Pd (0.500, 0.500, 0.500)
Ru (0.000, 0.000, 0.000)

The calculation puts the formation energy from the elements at 225 meV per atom. Its space group is Fm-3m, No. 225. The crystal system is cubic. The calculation puts the energy relative to the lowest polymorph listed for this composition at 0.575 eV per formula unit.


Record 7
Compound: Tl3Fe
Source: Alexandria via LeMat-Bulk
Functional: PBE
Structure: optimized geometry

abc: 3.603 8.618 6.599
angles: 90.00 90.00 90.00
Element x y z (fractional)
Tl (0.000, 0.160, 0.236)
Tl (0.500, 0.449, 0.000)
Tl (0.000, 0.160, 0.764)
Tl (0.500, 0.840, 0.736)
Tl (0.500, 0.840, 0.264)
Tl (0.000, 0.551, 0.500)
Fe (0.000, 0.697, 0.000)
Fe (0.500, 0.303, 0.500)

The calculation puts the formation energy from the elements at 498 meV per atom. Its space group is Pmmn, No. 59. The crystal system is orthorhombic.


Record 8
Compound: Hf2PbAu
Source: Alexandria via LeMat-Bulk
Functional: PBE
Structure: optimized geometry

abc: 4.318 4.425 4.425
angles: 90.00 90.00 90.00
Element x y z (fractional)
Hf (0.000, 0.500, 0.000)
Hf (0.000, 0.000, 0.500)
Au (0.500, 0.000, 0.000)
Pb (0.500, 0.500, 0.500)

The calculation puts the formation energy from the elements at -158 meV per atom. Its space group is P4/mmm, No. 123. The crystal system is tetragonal.


Record 9
Compound: Y2PbBr
Source: Alexandria via LeMat-Bulk
Functional: PBE
Structure: optimized geometry

abc: 3.575 3.575 9.985
angles: 90.00 90.00 90.00
Element x y z (fractional)
Pb (0.500, 0.500, 0.781)
Y (0.500, 0.500, 0.272)
Y (0.000, 0.000, 0.009)
Br (0.000, 0.000, 0.438)

Its space group is P4mm, No. 99. Its energy relative to the elements, uncorrected is -2.3 eV/f.u. The crystal system is tetragonal. The calculation puts the energy relative to the lowest polymorph listed for this composition at 0.732 eV per formula unit.


Record 10
Compound: Li5GaGe4
Source: Alexandria via LeMat-Bulk
Functional: PBE
Structure: optimized geometry

abc: 2.747 2.747 20.954
angles: 90.00 90.00 90.00
Element x y z (fractional)
Li (0.500, 0.500, 0.302)
Li (0.500, 0.500, 0.698)
Li (0.500, 0.500, 0.500)
Li (0.500, 0.500, 0.897)
Li (0.500, 0.500, 0.103)
Ge (0.000, 0.000, 0.202)
Ge (0.000, 0.000, 0.798)
Ge (0.000, 0.000, 0.600)
Ge (0.000, 0.000, 0.400)
Ga (0.000, 0.000, 0.000)

The calculation puts the formation energy from the elements at -284 meV per atom. Its space group is P4/mmm, No. 123. The crystal system is tetragonal.


Record 11
Compound: V3ZnRe
Source: Alexandria via LeMat-Bulk
Functional: PBE
Structure: optimized geometry

abc: 4.581 4.581 4.581
angles: 90.00 90.00 90.00
Element x y z (fractional)
V (0.000, 0.000, 0.500)
V (0.000, 0.500, 0.000)
V (0.500, 0.000, 0.000)
Re (0.000, 0.000, 0.000)
Zn (0.500, 0.500, 0.500)

The calculation puts the formation energy from the elements at 1180 meV per atom. Its space group is Pm-3m, No. 221. The crystal system is cubic. The calculation puts the energy relative to the lowest polymorph listed for this composition at 0.000 eV per formula unit.


Record 12
Compound: Y2Fe2Hg
Source: Alexandria via LeMat-Bulk
Functional: PBE
Structure: optimized geometry

abc: 7.194 7.194 3.988
angles: 90.00 90.00 90.00
Element x y z (fractional)
Hg (0.000, 0.000, 0.000)
Hg (0.500, 0.500, 0.000)
Fe (0.610, 0.110, 0.000)
Fe (0.110, 0.390, 0.000)
Fe (0.390, 0.890, 0.000)
Fe (0.890, 0.610, 0.000)
Y (0.678, 0.822, 0.500)
Y (0.322, 0.178, 0.500)
Y (0.822, 0.322, 0.500)
Y (0.178, 0.678, 0.500)

The calculation puts the formation energy from the elements at -110 meV per atom. Its space group is P4/mbm, No. 127. The crystal system is tetragonal.


Record 13
Compound: TbIn2I6
Source: Alexandria via LeMat-Bulk
Functional: PBE
Structure: optimized geometry

abc: 7.323 10.701 10.701
angles: 98.58 86.38 86.38
Element x y z (fractional)
I (0.886, 0.187, 0.060)
I (0.622, 0.658, 0.049)
I (0.878, 0.951, 0.342)
I (0.005, 0.501, 0.309)
I (0.386, 0.060, 0.187)
I (0.114, 0.813, 0.940)
I (0.995, 0.499, 0.691)
I (0.614, 0.940, 0.813)
I (0.122, 0.049, 0.658)
I (0.378, 0.342, 0.951)
I (0.505, 0.309, 0.501)
I (0.495, 0.691, 0.499)
Tb (0.250, 0.079, 0.921)
Tb (0.750, 0.921, 0.079)
In (0.925, 0.735, 0.526)
In (0.075, 0.265, 0.474)
In (0.575, 0.474, 0.265)
In (0.425, 0.526, 0.735)

Its space group is C2/c, No. 15. Its energy relative to the elements, uncorrected is -7.1 eV/f.u. The crystal system is monoclinic.


Record 14
Compound: TbErAg2Se4
Source: Alexandria via LeMat-Bulk
Functional: PBE
Structure: optimized geometry

abc: 4.168 6.895 7.214
angles: 69.97 90.00 90.00
Element x y z (fractional)
Se (0.000, 0.256, 0.244)
Se (0.500, 0.255, 0.750)
Se (0.000, 0.744, 0.756)
Se (0.500, 0.745, 0.250)
Tb (0.000, 0.500, 0.500)
Er (0.500, 0.500, 0.000)
Ag (0.000, 0.000, 0.000)
Ag (0.500, 0.000, 0.500)

Its space group is P2/m, No. 10. Its energy relative to the elements, uncorrected is -9.3 eV/f.u. The crystal system is monoclinic.


Record 15
Compound: Np2InHg
Source: Alexandria via LeMat-Bulk
Functional: PBE
Structure: optimized geometry

abc: 5.085 4.308 4.308
angles: 90.00 90.00 90.00
Element x y z (fractional)
In (0.500, 0.500, 0.500)
Np (0.000, 0.000, 0.500)
Np (0.000, 0.500, 0.000)
Hg (0.500, 0.000, 0.000)

The calculation puts the formation energy from the elements at 185 meV per atom. Its space group is P4/mmm, No. 123. The crystal system is tetragonal.


Record 16
Compound: TbTm2Al9
Source: Alexandria via LeMat-Bulk
Functional: PBE
Structure: optimized geometry

abc: 5.540 5.540 9.302
angles: 72.67 72.67 60.00
Element x y z (fractional)
Al (0.500, 0.500, 0.500)
Al (0.335, 0.335, 0.994)
Al (0.588, 0.077, 0.748)
Al (0.588, 0.588, 0.748)
Al (0.077, 0.588, 0.748)
Al (0.412, 0.923, 0.252)
Al (0.665, 0.665, 0.006)
Al (0.412, 0.412, 0.252)
Al (0.923, 0.412, 0.252)
Tm (0.858, 0.858, 0.427)
Tm (0.142, 0.142, 0.573)
Tb (0.000, 0.000, 0.000)

The calculation puts the formation energy from the elements at -359 meV per atom. Its space group is R-3m, No. 166. The crystal system is trigonal. The calculation puts the energy relative to the lowest polymorph listed for this composition at 0.650 eV per formula unit.


Record 17
Compound: Ga2Ag2Te
Source: Alexandria via LeMat-Bulk
Functional: PBE
Structure: optimized geometry

abc: 8.388 8.388 2.995
angles: 90.00 90.00 90.00
Element x y z (fractional)
Ag (0.617, 0.883, 0.500)
Ag (0.883, 0.383, 0.500)
Ag (0.383, 0.117, 0.500)
Ag (0.117, 0.617, 0.500)
Ga (0.683, 0.183, 0.000)
Ga (0.817, 0.683, 0.000)
Ga (0.317, 0.817, 0.000)
Ga (0.183, 0.317, 0.000)
Te (0.500, 0.500, 0.000)
Te (0.000, 0.000, 0.000)

Its space group is P4/mbm, No. 127. Its energy relative to the elements, uncorrected is 0.4 eV/f.u. The crystal system is tetragonal. The calculation puts the energy relative to the lowest polymorph listed for this composition at 0.208 eV per formula unit.


Record 18
Compound: Zn2TeBr
Source: Alexandria via LeMat-Bulk
Functional: PBE
Structure: optimized geometry

abc: 6.277 6.277 7.829
angles: 66.37 66.37 90.00
Element x y z (fractional)
Zn (0.875, 0.885, 0.750)
Zn (0.115, 0.625, 0.250)
Zn (0.635, 0.125, 0.250)
Zn (0.375, 0.365, 0.750)
Te (0.750, 0.250, 0.500)
Te (0.000, 0.000, 0.000)
Br (0.500, 0.500, 0.000)
Br (0.250, 0.750, 0.500)

Its space group is I-42d, No. 122. Its energy relative to the elements, uncorrected is -0.9 eV/f.u. The crystal system is tetragonal. The calculation puts the energy relative to the lowest polymorph listed for this composition at 0.242 eV per formula unit.


Record 19
Compound: Nd2Ho3Er7
Source: Alexandria via LeMat-Bulk
Functional: PBE
Structure: optimized geometry

abc: 3.593 5.650 18.991
angles: 98.55 90.00 90.00
Element x y z (fractional)
Er (0.000, 0.411, 0.822)
Er (0.500, 0.071, 0.141)
Er (0.000, 0.000, 0.000)
Er (0.000, 0.589, 0.178)
Er (0.000, 0.231, 0.461)
Er (0.000, 0.769, 0.539)
Er (0.500, 0.929, 0.859)
Nd (0.000, 0.147, 0.294)
Nd (0.000, 0.853, 0.706)
Ho (0.500, 0.314, 0.628)
Ho (0.500, 0.686, 0.372)
Ho (0.500, 0.500, 0.000)

The calculation puts the formation energy from the elements at 115 meV per atom. Its space group is Cmmm, No. 65. The crystal system is orthorhombic. The calculation puts the energy relative to the lowest polymorph listed for this composition at 0.393 eV per formula unit.


Record 20
Compound: Nd3AlGe2
Source: Alexandria via LeMat-Bulk
Functional: PBE
Structure: optimized geometry

abc: 4.282 12.129 12.042
angles: 90.00 90.00 90.00
Element x y z (fractional)
Nd (0.250, 0.061, 0.877)
Nd (0.750, 0.618, 0.940)
Nd (0.250, 0.439, 0.377)
Nd (0.250, 0.797, 0.698)
Nd (0.250, 0.118, 0.560)
Nd (0.250, 0.382, 0.060)
Nd (0.750, 0.203, 0.302)
Nd (0.250, 0.703, 0.198)
Nd (0.750, 0.297, 0.802)
Nd (0.750, 0.561, 0.623)
Nd (0.750, 0.939, 0.123)
Nd (0.750, 0.882, 0.440)
Al (0.750, 0.867, 0.866)
Al (0.250, 0.367, 0.634)
Al (0.750, 0.633, 0.366)
Al (0.250, 0.133, 0.134)
Ge (0.750, 0.510, 0.189)
Ge (0.750, 0.186, 0.026)
Ge (0.750, 0.990, 0.689)
Ge (0.250, 0.686, 0.474)
Ge (0.250, 0.814, 0.974)
Ge (0.250, 0.010, 0.311)
Ge (0.750, 0.314, 0.526)
Ge (0.250, 0.490, 0.811)

The calculation puts the formation energy from the elements at -698 meV per atom. Its space group is Pnma, No. 62. The crystal system is orthorhombic.


no.,DOS(E_F) (states/eV per cell),total moment (Bohr magnetons per cell),total energy (eV/atom)
1,4.156,0.0,-10.310
2,4.113,0.0,-2.968
3,8.513,1.3,-2.369
4,1.947,0.0,-4.832
5,8.812,0.0,-8.210
6,7.968,2.8,-6.283
7,10.027,5.1,-3.392
8,3.994,0.0,-6.881
9,2.726,0.0,-5.164
10,2.849,0.0,-3.391
11,5.541,0.0,-7.035
12,7.365,6.7,-6.141
13,9.139,0.0,-2.946
14,0.000,0.0,-4.767
15,9.471,8.9,-7.045
16,5.263,0.0,-4.297
17,4.830,0.0,-2.896
18,3.831,0.0,-2.054
19,17.652,0.0,-4.485
20,18.414,0.1,-5.245